A plane-wave DFT calculation with GGA-PBE was carried out for a relaxed CoIr3 crystal.

Values from the calculation:
The density is 19.13 Mg/m³. Its crystal system is hexagonal. The density of states at the Fermi level comes out at 10.06 states/eV per cell. Its total energy is -66.995 eV per cell. For the formation energy, the calculation gives 0.048 eV per atom.

Cell: 5.4212 5.4212 4.3343 Å, 90.00 90.00 120.00°
Each line ends with the local moment (μB).
Element x y z (fractional)
Ir 0.1696 0.3392 0.7500  0.27
Ir 0.8304 0.1696 0.2500  0.27
Ir 0.8304 0.6608 0.2500  0.27
Ir 0.1696 0.8304 0.7500  0.27
Ir 0.3392 0.1696 0.2500  0.27
Ir 0.6608 0.8304 0.7500  0.27
Co 0.3333 0.6667 0.2500  1.62
Co 0.6667 0.3333 0.7500  1.62